DFT (PBE-GGA) results for crystalline KY2Sn2 at its relaxed geometry.

Output
- Offset from the most stable computed form: 0 meV/atom
- D(E_F): 7.097 states/eV per cell
- Calculated formation energy: -0.484 eV per atom

Cell: 9.373 9.373 3.445 Å, 90.00 90.00 90.00°
Sites, in units of the cell vectors:
K 0.000 0.000 0.000
K 0.500 0.500 0.000
Y 0.131 0.369 0.000
Y 0.369 0.869 0.000
Y 0.631 0.131 0.000
Y 0.869 0.631 0.000
Sn 0.165 0.665 0.500
Sn 0.335 0.165 0.500
Sn 0.665 0.835 0.500
Sn 0.835 0.335 0.500

---

DFT (PBE-GGA) results for crystalline KZnSn at its relaxed geometry.

Output
- Offset from the most stable computed form: 36 meV/atom
- D(E_F): 4.465 states/eV per cell
- Calculated formation energy: -0.073 eV per atom

Cell: 12.665 4.454 6.580 Å, 90.00 90.00 90.00°
Sites, in units of the cell vectors:
K 0.217 0.250 0.188
K 0.283 0.750 0.688
K 0.717 0.250 0.312
K 0.783 0.750 0.812
Zn 0.039 0.750 0.931
Zn 0.461 0.250 0.431
Zn 0.539 0.750 0.569
Zn 0.961 0.250 0.069
Sn 0.039 0.250 0.660
Sn 0.461 0.750 0.160
Sn 0.539 0.250 0.840
Sn 0.961 0.750 0.340

---

DFT (PBE-GGA) results for crystalline K3ZnSn at its relaxed geometry.

Output
- Offset from the most stable computed form: 0 meV/atom
- D(E_F): 1.979 states/eV per cell
- Calculated formation energy: 0.215 eV per atom

Cell: 6.848 6.848 6.848 Å, 90.00 90.00 90.00°
Sites, in units of the cell vectors:
K 0.000 0.000 0.500
K 0.000 0.500 0.000
K 0.500 0.000 0.000
Zn 0.500 0.500 0.500
Sn 0.000 0.000 0.000

---

DFT (PBE-GGA) results for crystalline K2Zn3Sn5 at its relaxed geometry.

Output
- D(E_F): 7.573 states/eV per cell
- Calculated formation energy: -0.136 eV per atom

Cell: 9.635 9.635 9.635 Å, 104.14 90.38 138.51°
Sites, in units of the cell vectors:
K 0.128 0.250 0.379
K 0.372 0.750 0.122
K 0.628 0.250 0.878
K 0.872 0.750 0.621
Zn 0.122 0.633 0.755
Zn 0.250 0.250 0.000
Zn 0.378 0.133 0.510
Zn 0.622 0.867 0.490
Zn 0.750 0.750 0.000
Zn 0.878 0.367 0.245
Sn 0.002 0.750 0.252
Sn 0.114 0.861 0.975
Sn 0.250 0.750 0.500
Sn 0.386 0.361 0.747
Sn 0.498 0.750 0.748
Sn 0.502 0.250 0.252
Sn 0.614 0.639 0.253
Sn 0.750 0.250 0.500
Sn 0.886 0.139 0.025
Sn 0.998 0.250 0.748

---

DFT (PBE-GGA) results for crystalline KZn2Sn2 at its relaxed geometry.

Output
- Offset from the most stable computed form: 129 meV/atom
- D(E_F): 2.987 states/eV per cell
- Calculated formation energy: 0.010 eV per atom

Cell: 8.769 8.769 3.214 Å, 90.00 90.00 90.00°
Sites, in units of the cell vectors:
K 0.000 0.000 0.000
K 0.500 0.500 0.000
Zn 0.139 0.361 0.000
Zn 0.361 0.861 0.000
Zn 0.639 0.139 0.000
Zn 0.861 0.639 0.000
Sn 0.150 0.650 0.500
Sn 0.350 0.150 0.500
Sn 0.650 0.850 0.500
Sn 0.850 0.350 0.500

---

DFT (PBE-GGA) results for crystalline KZnSn4 at its relaxed geometry.

Output
- D(E_F): 5.541 states/eV per cell
- Calculated formation energy: 0.098 eV per atom

Cell: 6.331 6.331 6.331 Å, 60.00 60.00 60.00°
Sites, in units of the cell vectors:
K 0.000 0.000 0.000
Zn 0.250 0.250 0.250
Sn 0.127 0.624 0.624
Sn 0.624 0.127 0.624
Sn 0.624 0.624 0.127
Sn 0.624 0.624 0.624

---

DFT (PBE-GGA) results for crystalline K2ZnSn2 at its relaxed geometry.

Output
- Offset from the most stable computed form: 0 meV/atom
- D(E_F): 5.544 states/eV per cell
- Calculated formation energy: -0.120 eV per atom

Cell: 6.553 6.553 11.726 Å, 113.59 113.59 46.63°
Sites, in units of the cell vectors:
K 0.091 0.091 0.383
K 0.324 0.324 0.814
K 0.676 0.676 0.186
K 0.909 0.909 0.617
Zn 0.358 0.358 0.138
Zn 0.642 0.642 0.862
Sn 0.100 0.100 0.955
Sn 0.391 0.391 0.388
Sn 0.609 0.609 0.612
Sn 0.900 0.900 0.045

---

DFT (PBE-GGA) results for crystalline K3Zn2Sn2 at its relaxed geometry.

Output
- D(E_F): 19.777 states/eV per cell
- Calculated formation energy: -0.095 eV per atom

Cell: 6.927 8.875 15.179 Å, 90.00 90.00 90.00°
Sites, in units of the cell vectors:
K 0.121 0.108 0.100
K 0.121 0.108 0.400
K 0.121 0.392 0.600
K 0.121 0.392 0.900
K 0.323 0.721 0.750
K 0.323 0.779 0.250
K 0.677 0.221 0.750
K 0.677 0.279 0.250
K 0.879 0.608 0.100
K 0.879 0.608 0.400
K 0.879 0.892 0.600
K 0.879 0.892 0.900
Zn 0.386 0.032 0.597
Zn 0.386 0.032 0.903
Zn 0.386 0.468 0.097
Zn 0.386 0.468 0.403
Zn 0.614 0.532 0.597
Zn 0.614 0.532 0.903
Zn 0.614 0.968 0.097
Zn 0.614 0.968 0.403
Sn 0.196 0.092 0.750
Sn 0.196 0.408 0.250
Sn 0.407 0.750 0.000
Sn 0.407 0.750 0.500
Sn 0.593 0.250 0.000
Sn 0.593 0.250 0.500
Sn 0.804 0.592 0.750
Sn 0.804 0.908 0.250